An optimized crystal structure of ScNiIO2, computed with PBE with a Hubbard U.

Properties
**Uncorrected energy**: -5.166 eV/atom

Cell lengths 3.9841, 3.9841, 6.4510 Å; angles 90.00, 90.00, 90.00 degrees
With the nearest neighbours (Å) after each atom.
Space group P4/mmm (No. 123)
Inequivalent atoms, fractional coordinates:
Sc 0.0000 0.0000 0.0000 [1 per cell]  4 O 1.99
Ni 0.5000 0.5000 0.5000 [1 per cell]  4 I 2.82
I 0.0000 0.0000 0.5000 [1 per cell]  4 Ni 2.82
O 0.0000 0.5000 0.0000 [2 per cell]  2 Sc 1.99